First-principles (meta-GGA SCAN) data for a PBEsol-optimized structure of CsZn3Pt, as listed in the Alexandria database.

abc: 4.9484 4.9484 4.9484
angles: 90.00 90.00 90.00
With the nearest neighbours (Å) after each atom.
Fractional coordinates of all 5 atoms:
Zn 0.5000 0.0000 0.0000  2 Pt 2.47
Zn 0.0000 0.5000 0.0000  2 Pt 2.47
Zn 0.0000 0.0000 0.5000  2 Pt 2.47
Pt 0.0000 0.0000 0.0000  6 Zn 2.47
Cs 0.5000 0.5000 0.5000  12 Zn 3.50

Computed properties:
Space-group type = Pm-3m (221)
Size of the total moment = 0.00 Bohr magnetons per cell
Crystal system = cubic
ΔE_f = -0.309 eV per atom
N(E_F) = 0.321 states/eV per atom

---

First-principles (meta-GGA SCAN) data for a PBEsol-optimized structure of LiZrCrCd2, as listed in the Alexandria database.

abc: 4.5266 4.5266 4.7852
angles: 90.00 90.00 90.00
With the nearest neighbours (Å) after each atom.
Fractional coordinates of all 5 atoms:
Cd 0.0000 0.5000 0.0000  2 Li 2.26
Cd 0.5000 0.0000 0.0000  2 Li 2.26
Li 0.0000 0.0000 0.0000  4 Cd 2.26, 2 Zr 2.39
Zr 0.0000 0.0000 0.5000  2 Li 2.39
Cr 0.5000 0.5000 0.5000  4 Zr 3.20, 8 Cd 3.29

Computed properties:
Space-group type = P4/mmm (123)
Size of the total moment = 5.08 Bohr magnetons per cell
Crystal system = tetragonal
ΔE_f = 0.555 eV per atom
N(E_F) = 0.583 states/eV per atom